[1]
First-principles (PBE) data for crystalline InReBr2 at its relaxed geometry, as listed in the Alexandria database.

a b c (Å): 3.2883 6.0712 9.8392
angles (deg): 90.00 90.00 90.00
With the nearest neighbours (Å) after each atom.
Space group Cmm2 (No. 35)
Inequivalent atoms, fractional coordinates:
1 In 0.0000 0.0000 0.0000  2 Br 2.73, 2 Re 2.75
2 Re 0.0000 0.5000 0.2244  2 Br 2.50, 2 In 2.75
3 Br 0.0000 0.0000 0.4162  2 Re 2.50
4 Br 0.0000 0.5000 0.7790  2 In 2.73

Values from the calculation:
mass density = 7.79 g cm⁻³
energy above the most stable polymorph in this dataset = 0.295 eV/atom
formation energy (no corrections) = 45 kJ/mol of atoms
volume = 24.55 Å³/atom
total magnetic moment = 0.0 μB/f.u.
total energy = -33.347 eV per cell

[2]
First-principles (PBE) data for crystalline Sr2HgPt2 at its relaxed geometry, as listed in the Alexandria database.

a b c (Å): 5.9167 5.9167 8.1117
angles (deg): 90.00 90.00 90.00
With the nearest neighbours (Å) after each atom.
Space group I4/mmm (No. 139)
Inequivalent atoms, fractional coordinates:
1 Sr 0.0000 0.5000 0.2500  4 Pt 3.05
2 Hg 0.0000 0.0000 0.0000  2 Pt 2.76
3 Pt 0.0000 0.0000 0.3398  1 Pt 2.60, 1 Hg 2.76

Values from the calculation:
mass density = 8.96 g cm⁻³
volume = 28.40 Å³/atom
energy of formation = -622 meV per atom
total magnetic moment = 0.0 μB/f.u.
total energy = -37.710 eV per cell

[3]
First-principles (PBE) data for crystalline Tb3PrTl3 at its relaxed geometry, as listed in the Alexandria database.

a b c (Å): 9.5706 9.5706 5.2505
angles (deg): 90.00 90.00 120.00
With the nearest neighbours (Å) after each atom.
Space group P6_3/m (No. 176)
Inequivalent atoms, fractional coordinates:
1 Tb 0.0019 0.7672 0.2500  4 Tl 3.13-3.43, 4 Tb 3.45
2 Pr 0.3333 0.6667 0.7500  9 Tl 3.44-3.52, 3 Tb 3.77
3 Tl 0.0694 0.4474 0.2500  4 Tb 3.13-3.43, 2 Tl 3.32, 1 Pr 3.44

Values from the calculation:
mass density = 9.81 g cm⁻³
energy above the most stable polymorph in this dataset = 0.004 eV/atom
volume = 29.75 Å³/atom
energy of formation = -260 meV per atom
total magnetic moment = 0.0 μB/f.u.
total energy = -55.180 eV per cell

[4]
First-principles (PBE) data for crystalline HoZnHg6 at its relaxed geometry, as listed in the Alexandria database.

a b c (Å): 6.3302 6.3302 23.0140
angles (deg): 90.00 90.00 120.00
With the nearest neighbours (Å) after each atom.
Space group R-3m (No. 166, hexagonal axes)
Inequivalent atoms, fractional coordinates:
1 Ho 0.0000 0.0000 0.0000  6 Hg 3.01
2 Zn 0.0000 0.0000 0.5000  12 Hg 3.50
3 Hg 0.0119 0.5060 0.4350  5 Hg 3.00-3.28, 1 Ho 3.01

Values from the calculation:
mass density = 8.94 g cm⁻³
volume = 33.28 Å³/atom
energy of formation = 136 meV per atom
total magnetic moment = 0.0 μB/f.u.
total energy = -19.727 eV per cell

Taking the records one at a time from the top gives DOS(E_F) values of 0.53; 0.45; 0.87; 0.45 states/eV per atom.